Density functional theory data (SCAN) for a PBEsol-optimized structure of Ba2P3Pd.

Computed properties:
total moment: 0.0 μB/cell
formation energy: -1.030 eV/atom

```
data_Ba2P3Pd
_chemical_formula_sum 'Ba8 P12 Pd4'
_cell_length_a 6.4181
_cell_length_b 7.1615
_cell_length_c 12.7577
_cell_angle_alpha 90.00
_cell_angle_beta 91.24
_cell_angle_gamma 90.00
_symmetry_space_group_name_H-M 'P 1 21/c 1'
_symmetry_Int_Tables_number 14
_symmetry_space_group_name_Hall '-P 2ybc'
loop_
_atom_site_label
_atom_site_fract_x
_atom_site_fract_y
_atom_site_fract_z
Ba1 0.1211 0.2447 0.1644
Ba2 0.3352 0.7501 0.0605
P1 0.1818 0.1068 0.9059
P2 0.1831 0.0907 0.4058
P3 0.4034 0.5744 0.8071
Pd1 0.3835 0.5988 0.3069
```



Density functional theory data (SCAN) for a PBEsol-optimized structure of FeHgBr3.

Computed properties:
formation energy without anion corrections: 348 meV/atom
total moment: 3.6 μB/cell

```
data_FeHgBr3
_chemical_formula_sum 'Fe1 Hg1 Br3'
_cell_length_a 5.4000
_cell_length_b 5.4000
_cell_length_c 5.4000
_cell_angle_alpha 90.00
_cell_angle_beta 90.00
_cell_angle_gamma 90.00
_symmetry_space_group_name_H-M 'P m -3 m'
_symmetry_Int_Tables_number 221
_symmetry_space_group_name_Hall '-P 4 2 3'
loop_
_atom_site_label
_atom_site_fract_x
_atom_site_fract_y
_atom_site_fract_z
Fe1 0.0000 0.0000 0.0000
Hg1 0.5000 0.5000 0.5000
Br1 0.0000 0.5000 0.5000
```



Density functional theory data (SCAN) for a PBEsol-optimized structure of AlBNO2.

Computed properties:
formation energy without anion corrections: 314 meV/atom
total moment: 2.6 μB/cell

```
data_AlBNO2
_chemical_formula_sum 'Al1 B1 N1 O2'
_cell_length_a 3.5096
_cell_length_b 3.5096
_cell_length_c 4.0155
_cell_angle_alpha 90.00
_cell_angle_beta 90.00
_cell_angle_gamma 90.00
_symmetry_space_group_name_H-M 'P 4/m m m'
_symmetry_Int_Tables_number 123
_symmetry_space_group_name_Hall '-P 4 2'
loop_
_atom_site_label
_atom_site_fract_x
_atom_site_fract_y
_atom_site_fract_z
Al1 0.0000 0.0000 0.0000
B1 0.5000 0.5000 0.5000
N1 0.0000 0.0000 0.5000
O1 0.0000 0.5000 0.0000
```



Density functional theory data (SCAN) for a PBEsol-optimized structure of LiTcSb.

Computed properties:
energy relative to the lowest polymorph listed for this composition: 0 meV/atom
formation energy without anion corrections: 124 meV/atom
total moment: 0.0 μB/cell

```
data_LiTcSb
_chemical_formula_sum 'Li1 Tc1 Sb1'
_cell_length_a 4.5561
_cell_length_b 4.5561
_cell_length_c 2.8095
_cell_angle_alpha 90.00
_cell_angle_beta 90.00
_cell_angle_gamma 120.00
_symmetry_space_group_name_H-M 'P 3 m 1'
_symmetry_Int_Tables_number 156
_symmetry_space_group_name_Hall 'P 3 -2"'
loop_
_atom_site_label
_atom_site_fract_x
_atom_site_fract_y
_atom_site_fract_z
Li1 0.0000 0.0000 0.0000
Tc1 0.6667 0.3333 0.4926
Sb1 0.3333 0.6667 0.5379
```